First-principles (PBE-GGA) data for crystalline KLaTc2 at its relaxed geometry, as listed in the Alexandria database.

Calculated values
- final energy (eV per cell) = -22.17
- E above lowest polymorph (meV per atom) = 747
- D(E_F) (states/eV/f.u.) = 7.2
- energy relative to the elements (meV per atom) = 1146

```
KLaTc2
1.0
4.9440 -0.0230 0.0000
0.0376 4.9439 0.0000
-2.4908 -2.4604 3.4908
Tc K La
2 1 1
Cartesian
0.0188 2.4719 1.7454
0.0000 0.0000 0.0000
2.4908 2.4604 0.0000
2.4720 -0.0115 1.7454
```

First-principles (PBE-GGA) data for crystalline KLaTc2 at its relaxed geometry, as listed in the Alexandria database.

Calculated values
- final energy (eV per cell) = -22.33
- E above lowest polymorph (meV per atom) = 708
- D(E_F) (states/eV/f.u.) = 4.9
- energy relative to the elements (meV per atom) = 1108

```
KLaTc2
1.0
-1.0986 1.3714 2.2016
-2.2948 0.6005 -1.5191
-4.7075 -9.2911 3.4386
Tc La K
2 1 1
Cartesian
-2.4298 -4.7957 1.7749
-4.6315 -9.1410 3.3831
-5.2273 -5.9824 2.9202
-2.8736 -1.3368 1.2009
```

First-principles (PBE-GGA) data for crystalline KLa2Tc at its relaxed geometry, as listed in the Alexandria database.

Calculated values
- final energy (eV per cell) = -18.27
- E above lowest polymorph (meV per atom) = 628
- D(E_F) (states/eV/f.u.) = 4.7
- energy relative to the elements (meV per atom) = 761

```
KLa2Tc
1.0
-0.3089 -2.3955 -3.4001
-2.5794 -3.5899 2.7635
-4.5139 2.3075 -1.2156
La K Tc
2 1 1
Cartesian
-3.5466 -0.6412 0.7740
0.0000 0.0000 0.0000
-2.4114 -0.0440 -2.3079
-1.4442 -2.9927 -0.3183
```

First-principles (PBE-GGA) data for crystalline KLaTc2 at its relaxed geometry, as listed in the Alexandria database.

Calculated values
- final energy (eV per cell) = -24.23
- E above lowest polymorph (meV per atom) = 232
- D(E_F) (states/eV/f.u.) = 3.1
- energy relative to the elements (meV per atom) = 631

```
KLaTc2
1.0
7.3487 0.0159 -0.0039
4.6485 5.6917 0.0039
-5.6135 -3.6633 3.0122
Tc La K
2 1 1
Cartesian
10.7916 5.1340 0.0000
4.4309 -0.1285 1.5041
2.7391 2.5469 1.5080
6.4179 3.0533 0.0000
```

First-principles (PBE-GGA) data for crystalline KLa2Tc at its relaxed geometry, as listed in the Alexandria database.

Calculated values
- final energy (eV per cell) = -20.69
- E above lowest polymorph (meV per atom) = 23
- D(E_F) (states/eV/f.u.) = 2.4
- energy relative to the elements (meV per atom) = 157

```
KLa2Tc
1.0
4.1051 -1.1436 -0.1177
2.8047 3.2084 -0.1177
1.0645 0.3181 9.9264
Tc La K
1 2 1
Cartesian
4.2084 1.2575 2.1527
7.0000 2.0917 0.9139
2.4777 0.7404 3.8229
5.1851 1.5494 7.4116
```

First-principles (PBE-GGA) data for crystalline KLaTc2 at its relaxed geometry, as listed in the Alexandria database.

Calculated values
- final energy (eV per cell) = -43.80
- E above lowest polymorph (meV per atom) = 815
- D(E_F) (states/eV/f.u.) = 4.9
- energy relative to the elements (meV per atom) = 1214

```
KLaTc2
1.0
-0.5973 3.8403 -2.6562
-4.5444 -1.0937 -0.5594
-4.8977 6.7778 6.7293
Tc La K
4 2 2
Cartesian
-4.8125 6.3032 3.9383
-2.2695 4.6246 -0.5088
-4.4168 8.3905 2.6956
-4.6329 4.6646 -1.1944
0.0000 0.0000 0.0000
-4.0329 5.9957 1.2327
-6.0065 3.5287 2.2811
-2.5708 1.3733 -1.6078
```